First-principles (GGA-PBE) data for a relaxed ZrScCd2C crystal, as listed in Alexandria.

```
ZrScCd2C
1.0
5.5302 0.0000 0.0000
0.0000 4.1479 0.0000
0.0000 0.0000 5.5302
C Zr Cd Sc
1 1 2 1
Direct
0.0000 0.5000 0.0000
0.0000 0.0000 0.0000
0.5000 0.0000 0.0000
0.0000 0.0000 0.5000
0.5000 0.5000 0.5000
```

Computed properties:
calculated density	4.9	g/cm3
VASP energy	-0.1564	Ha/atom


First-principles (GGA-PBE) data for a relaxed CdC2Se crystal, as listed in Alexandria.

```
CdC2Se
1.0
-0.0256 4.8537 1.5835
-4.0925 -0.9663 2.8956
0.5895 0.8549 5.6197
Se C Cd
2 4 2
Direct
0.2500 0.7500 0.5000
0.5000 0.5000 0.0000
0.1833 0.6250 0.2500
0.8750 0.8167 0.7500
0.5667 0.1250 0.2500
0.3750 0.4333 0.7500
0.7500 0.2500 0.5000
0.0000 0.0000 0.0000
```

Computed properties:
E above lowest polymorph	0	meV per atom
calculated density	6.2	g/cm3


First-principles (GGA-PBE) data for a relaxed Cd2CSe crystal, as listed in Alexandria.

```
Cd2CSe
1.0
-0.8179 -4.0623 -2.2433
1.6666 -4.0406 1.7605
-2.9616 -3.1609 1.8549
C Cd Se
1 2 1
Direct
0.0000 0.0000 0.0000
0.2500 0.2500 0.2500
0.7500 0.7500 0.7500
0.5000 0.5000 0.5000
```

Computed properties:
E above lowest polymorph	494	meV per atom
calculated density	7.1	g/cm3